{
  "formula": "Ag2AsIr",
  "functional": "PBE",
  "state": "optimized geometry",
  "e_tot_ev_per_atom": -4.458,
  "space_group": "F-43m (216)",
  "magmom_total_mub_per_fu": 0.0,
  "lattice": [[0.000, 3.215, 3.215], [3.215, 0.000, 3.215], [3.215, 3.215, 0.000]],
  "species": ["Ag", "Ag", "As", "Ir"],
  "frac_coords": [[0.000, 0.000, 0.000], [0.250, 0.250, 0.250], [0.500, 0.500, 0.500], [0.750, 0.750, 0.750]]
}